Record 1
Entry from Alexandria: a relaxed structure of CsZnGePSeBr (PBE).

The final energy is -3.4244 eV per atom. The crystal system is monoclinic. The formation energy (no corrections) is -0.539 eV/atom. As for the calculated volume: 33.78 A^3/atom. Its energy relative to the lowest polymorph listed for this composition is 6.6 kJ/mol of atoms. The space group is Pm, No. 6.

Unit cell a=5.773 b=4.413 c=8.210 alpha=90.00 beta=104.36 gamma=90.00
Element x y z (fractional)
Cs 0.000 0.000 0.000
Zn 0.556 0.000 0.401
Ge 0.177 0.500 0.536
P 0.390 0.500 0.332
Se 0.984 0.000 0.553
Br 0.459 0.500 0.851

---

Record 2
Entry from Alexandria: a relaxed structure of YCd4Ni (PBE).

The final energy is -2.7439 eV per atom. The crystal system is monoclinic. Its formation energy is -0.0930 eV/atom. As for the calculated volume: 21.87 A^3/atom. Its energy relative to the lowest polymorph listed for this composition is 0.0 kJ/mol of atoms. The space group is C2/m, No. 12.

Unit cell a=8.340 b=8.340 c=5.304 alpha=108.44 beta=108.44 gamma=49.38
Element x y z (fractional)
Y 0.207 0.207 0.206
Y 0.793 0.793 0.794
Cd 0.111 0.659 0.386
Cd 0.195 0.805 0.000
Cd 0.335 0.335 0.834
Cd 0.341 0.889 0.614
Cd 0.659 0.111 0.386
Cd 0.665 0.665 0.166
Cd 0.805 0.195 0.000
Cd 0.889 0.341 0.614
Ni 0.499 0.499 0.274
Ni 0.501 0.501 0.726

---

Record 3
Entry from Alexandria: a relaxed structure of ZnCoCl2 (PBE).

The final energy is -2.7162 eV per atom. The crystal system is orthorhombic. The formation energy (no corrections) is 0.302 eV/atom. As for the calculated volume: 17.15 A^3/atom. Its energy relative to the lowest polymorph listed for this composition is 62.0 kJ/mol of atoms. The space group is Cmmm, No. 65.

Unit cell a=4.657 b=4.657 c=3.162 alpha=90.00 beta=90.00 gamma=90.07
Element x y z (fractional)
Zn 0.000 0.000 0.000
Co 0.500 0.500 0.000
Cl 0.000 0.500 0.500
Cl 0.500 0.000 0.500

---

Record 4
Entry from Alexandria: a relaxed structure of SrThSb2 (PBE).

The final energy is -5.1517 eV per atom. The crystal system is tetragonal. The formation energy (no corrections) is -0.815 eV/atom. As for the calculated volume: 31.43 A^3/atom. Its energy relative to the lowest polymorph listed for this composition is 19.6 kJ/mol of atoms. The space group is P4/mmm, No. 123.

Unit cell a=3.921 b=3.921 c=8.174 alpha=90.00 beta=90.00 gamma=90.00
Element x y z (fractional)
Sr 0.000 0.000 0.000
Th 0.000 0.000 0.500
Sb 0.500 0.500 0.270
Sb 0.500 0.500 0.730

---

Record 5
Entry from Alexandria: a relaxed structure of SiC3 (PBE).

The final energy is -6.6151 eV per atom. The crystal system is monoclinic. The formation energy (no corrections) is 1.659 eV/atom. As for the calculated volume: 7.75 A^3/atom. Its energy relative to the lowest polymorph listed for this composition is 111.9 kJ/mol of atoms. The space group is P2/m, No. 10.

Unit cell a=3.448 b=2.682 c=3.466 alpha=90.00 beta=104.78 gamma=90.00
Element x y z (fractional)
Si 0.000 0.000 0.000
C 0.187 0.500 0.654
C 0.500 0.000 0.500
C 0.813 0.500 0.346

---

Record 6
Entry from Alexandria: a relaxed structure of K2BaIBr (PBE).

The final energy is -2.1371 eV per atom. The crystal system is tetragonal. The formation energy (no corrections) is -0.669 eV/atom. As for the calculated volume: 80.34 A^3/atom. The space group is P4/mmm, No. 123.

Unit cell a=8.138 b=8.138 c=6.066 alpha=90.00 beta=90.00 gamma=90.00
Element x y z (fractional)
K 0.000 0.500 0.000
K 0.500 0.000 0.000
Ba 0.000 0.000 0.000
I 0.500 0.500 0.500
Br 0.000 0.000 0.500

---

Record 7
Entry from Alexandria: a relaxed structure of TbPr9Sm2 (PBE).

The final energy is -4.7433 eV per atom. The crystal system is tetragonal. Its formation energy is 0.0137 eV/atom. As for the calculated volume: 35.39 A^3/atom. The space group is P4/mmm, No. 123.

Unit cell a=5.212 b=5.212 c=15.635 alpha=90.00 beta=90.00 gamma=90.00
Element x y z (fractional)
Tb 0.000 0.000 0.000
Pr 0.000 0.500 0.166
Pr 0.000 0.500 0.500
Pr 0.000 0.500 0.834
Pr 0.500 0.000 0.166
Pr 0.500 0.000 0.500
Pr 0.500 0.000 0.834
Pr 0.500 0.500 0.000
Pr 0.500 0.500 0.333
Pr 0.500 0.500 0.667
Sm 0.000 0.000 0.333
Sm 0.000 0.000 0.667

---

Record 8
Entry from Alexandria: a relaxed structure of BeFe2Cl (PBE).

The final energy is -5.0352 eV per atom. The crystal system is orthorhombic. The formation energy (no corrections) is 0.589 eV/atom. As for the calculated volume: 12.93 A^3/atom. Its energy relative to the lowest polymorph listed for this composition is 48.8 kJ/mol of atoms. The space group is Cmmm, No. 65.

Unit cell a=4.508 b=4.508 c=2.726 alpha=90.00 beta=90.00 gamma=111.06
Element x y z (fractional)
Be 0.000 0.000 0.000
Fe 0.000 0.500 0.500
Fe 0.500 0.000 0.500
Cl 0.500 0.500 0.000

---

Record 9
Entry from Alexandria: a relaxed structure of La8Ru3BrCl4 (PBE).

The final energy is -5.8776 eV per atom. The crystal system is trigonal. The formation energy (no corrections) is -1.108 eV/atom. As for the calculated volume: 29.09 A^3/atom. The space group is R-3m, No. 166.

Unit cell a=8.946 b=8.946 c=8.946 alpha=56.52 beta=56.52 gamma=56.52
Element x y z (fractional)
La 0.208 0.751 0.751
La 0.237 0.237 0.237
La 0.249 0.249 0.792
La 0.249 0.792 0.249
La 0.751 0.208 0.751
La 0.751 0.751 0.208
La 0.763 0.763 0.763
La 0.792 0.249 0.249
Ru 0.000 0.000 0.500
Ru 0.000 0.500 0.000
Ru 0.500 0.000 0.000
Br 0.500 0.500 0.500
Cl 0.000 0.000 0.000
Cl 0.000 0.500 0.500
Cl 0.500 0.000 0.500
Cl 0.500 0.500 0.000

---

Record 10
Entry from Alexandria: a relaxed structure of KMgHgBi2 (PBE).

The final energy is -2.3853 eV per atom. The crystal system is tetragonal. Its formation energy is -0.2342 eV/atom. As for the calculated volume: 32.77 A^3/atom. The space group is I-4m2, No. 119.

Unit cell a=8.192 b=8.192 c=8.192 alpha=146.84 beta=146.84 gamma=47.61
Element x y z (fractional)
K 0.000 0.000 0.000
Mg 0.250 0.750 0.500
Hg 0.750 0.250 0.500
Bi 0.379 0.379 0.000
Bi 0.621 0.621 0.000

---

Record 11
Entry from Alexandria: a relaxed structure of Sc2SbRh4 (PBE).

The final energy is -6.5107 eV per atom. The crystal system is tetragonal. The formation energy (no corrections) is 0.088 eV/atom. As for the calculated volume: 21.37 A^3/atom. Its energy relative to the lowest polymorph listed for this composition is 64.7 kJ/mol of atoms. The space group is I4/mmm, No. 139.

Unit cell a=7.325 b=7.325 c=7.325 alpha=141.74 beta=141.74 gamma=55.22
Element x y z (fractional)
Sc 0.129 0.129 0.000
Sc 0.871 0.871 0.000
Sb 0.500 0.500 0.000
Rh 0.000 0.500 0.500
Rh 0.303 0.303 0.000
Rh 0.500 0.000 0.500
Rh 0.697 0.697 0.000

---

Record 12
Entry from Alexandria: a relaxed structure of KMn2Pt (PBE).

The final energy is -5.7660 eV per atom. The crystal system is cubic. Its formation energy is 0.6034 eV/atom. As for the calculated volume: 19.00 A^3/atom. Its energy relative to the lowest polymorph listed for this composition is 24.7 kJ/mol of atoms. The space group is Fm-3m, No. 225.

Unit cell a=4.755 b=4.755 c=4.755 alpha=60.00 beta=60.00 gamma=60.00
Element x y z (fractional)
K 0.000 0.000 0.000
Mn 0.250 0.250 0.250
Mn 0.750 0.750 0.750
Pt 0.500 0.500 0.500